This record from Alexandria via LeMat-Bulk describes La5Th3S8 after structural relaxation. The functional is PBE.

a b c (Å): 8.207 8.207 8.228
angles (deg): 60.09 60.09 60.00
Fractional coordinates of all 16 atoms:
Th (0.500, 0.000, 0.500)
S (0.755, 0.250, 0.745)
Th (0.000, 0.500, 0.500)
S (0.250, 0.250, 0.745)
La (0.500, 0.500, 0.000)
La (0.000, 0.000, 0.000)
S (0.752, 0.752, 0.744)
S (0.245, 0.750, 0.255)
La (0.000, 0.500, 0.000)
La (0.500, 0.000, 0.000)
S (0.250, 0.755, 0.745)
La (0.500, 0.500, 0.500)
S (0.750, 0.245, 0.255)
S (0.248, 0.248, 0.256)
S (0.750, 0.750, 0.255)
Th (0.000, 0.000, 0.500)

Summary:
Space group ... R-3m
ΔE_f (raw) ... -2.04 eV/atom
Size of the total moment ... 0.0 μB per formula unit
Volume ... 392.3 Å³ per cell